! meta-GGA SCAN V6GaGe, PBEsol geometry; values from VASP
! **E_form**: -2.65 eV/f.u.
! **ρ**: 7.143 g/cm³
! **Space group**: No. 200
&SYSTEM
  ibrav = 0, nat = 8, ntyp = 3
/
ATOMIC_SPECIES
V 50.94 V.upf
Ga 69.72 Ga.upf
Ge 72.64 Ge.upf
ATOMIC_POSITIONS angstrom
V 0.000 1.190 2.352
V 0.000 3.515 2.352
V 1.190 2.352 0.000
V 2.352 0.000 1.190
V 2.352 0.000 3.515
V 3.515 2.352 0.000
Ga 0.000 0.000 0.000
Ge 2.352 2.352 2.352
CELL_PARAMETERS angstrom
4.705 0.000 0.000
0.000 4.705 0.000
0.000 0.000 4.705